(1)
Density functional theory data (GGA-PBEsol) for a relaxed P2H4PbO4 crystal.

* density of states at the Fermi level: 0.000 states/eV/f.u.
* size of the total moment: 0.00 Bohr magnetons per cell
* E: -5.59 eV per atom

Cell lengths 8.234, 8.234, 5.945 Å; angles 93.46, 93.46, 42.55 degrees
Sites, in units of the cell vectors:
P 0.106 0.611 0.726
P 0.389 0.894 0.774
P 0.611 0.106 0.226
P 0.894 0.389 0.274
H 0.085 0.311 0.415
H 0.176 0.423 0.849
H 0.311 0.085 0.915
H 0.423 0.176 0.349
H 0.577 0.824 0.651
H 0.689 0.915 0.085
H 0.824 0.577 0.151
H 0.915 0.689 0.585
Pb 0.250 0.750 0.250
Pb 0.750 0.250 0.750
O 0.007 0.816 0.890
O 0.184 0.993 0.610
O 0.314 0.504 0.579
O 0.496 0.686 0.921
O 0.504 0.314 0.079
O 0.686 0.496 0.421
O 0.816 0.007 0.390
O 0.993 0.184 0.110



(2)
Density functional theory data (GGA-PBEsol) for a relaxed V2P2H6PbO14 crystal.

* size of the total moment: 0.00 Bohr magnetons per cell
* E: -6.84 eV per atom

Cell lengths 6.216, 6.216, 13.846 Å; angles 96.67, 96.67, 90.61 degrees
Sites, in units of the cell vectors:
V 0.120 0.880 0.500
V 0.388 0.650 0.103
V 0.650 0.388 0.603
V 0.880 0.120 0.000
P 0.136 0.392 0.549
P 0.392 0.136 0.049
P 0.636 0.882 0.550
P 0.882 0.636 0.050
H 0.006 0.335 0.311
H 0.010 0.129 0.822
H 0.129 0.010 0.322
H 0.188 0.766 0.305
H 0.223 0.228 0.728
H 0.228 0.223 0.228
H 0.335 0.006 0.811
H 0.448 0.566 0.284
H 0.540 0.856 0.813
H 0.566 0.448 0.784
H 0.766 0.188 0.805
H 0.856 0.540 0.313
Pb 0.067 0.587 0.819
Pb 0.587 0.067 0.319
O 0.083 0.859 0.340
O 0.090 0.677 0.122
O 0.094 0.178 0.481
O 0.140 0.574 0.483
O 0.148 0.918 0.616
O 0.178 0.094 0.981
O 0.215 0.251 0.799
O 0.251 0.215 0.299
O 0.336 0.615 0.985
O 0.348 0.385 0.619
O 0.382 0.851 0.804
O 0.385 0.348 0.119
O 0.418 0.697 0.252
O 0.423 0.896 0.480
O 0.430 0.960 0.121
O 0.574 0.140 0.983
O 0.615 0.336 0.485
O 0.634 0.695 0.613
O 0.677 0.090 0.622
O 0.695 0.634 0.113
O 0.697 0.418 0.752
O 0.812 0.852 0.478
O 0.851 0.382 0.304
O 0.852 0.812 0.978
O 0.859 0.083 0.840
O 0.896 0.423 0.980
O 0.918 0.148 0.116
O 0.960 0.430 0.621



(3)
Density functional theory data (GGA-PBEsol) for a relaxed PrP3H10O14 crystal.

* density of states at the Fermi level: 0.000 states/eV/f.u.
* size of the total moment: 0.05 Bohr magnetons per cell
* E: -6.34 eV per atom

Cell lengths 7.579, 8.937, 9.605 Å; angles 76.54, 79.78, 65.10 degrees
Sites, in units of the cell vectors:
Pr 0.061 0.257 0.266
Pr 0.939 0.743 0.734
P 0.133 0.079 0.660
P 0.138 0.270 0.876
P 0.479 0.138 0.678
P 0.521 0.862 0.322
P 0.862 0.730 0.124
P 0.867 0.921 0.340
H 0.211 0.859 0.920
H 0.226 0.958 0.031
H 0.230 0.492 0.310
H 0.263 0.365 0.458
H 0.346 0.485 0.618
H 0.349 0.668 0.117
H 0.363 0.399 0.126
H 0.369 0.659 0.573
H 0.473 0.222 0.076
H 0.492 0.488 0.780
H 0.508 0.512 0.220
H 0.527 0.778 0.924
H 0.631 0.341 0.427
H 0.637 0.601 0.874
H 0.651 0.332 0.883
H 0.654 0.515 0.382
H 0.737 0.635 0.542
H 0.770 0.508 0.690
H 0.774 0.042 0.969
H 0.789 0.141 0.080
O 0.044 0.159 0.521
O 0.051 0.217 0.762
O 0.069 0.455 0.847
O 0.097 0.182 0.024
O 0.116 0.919 0.740
O 0.174 0.417 0.380
O 0.290 0.848 0.997
O 0.307 0.595 0.650
O 0.317 0.981 0.299
O 0.344 0.298 0.116
O 0.364 0.040 0.638
O 0.370 0.183 0.832
O 0.381 0.554 0.179
O 0.445 0.298 0.569
O 0.555 0.702 0.431
O 0.619 0.446 0.821
O 0.630 0.817 0.168
O 0.636 0.960 0.362
O 0.656 0.702 0.884
O 0.683 0.019 0.701
O 0.693 0.405 0.350
O 0.710 0.152 0.003
O 0.826 0.583 0.620
O 0.884 0.081 0.260
O 0.903 0.818 0.976
O 0.931 0.545 0.153
O 0.949 0.783 0.238
O 0.956 0.841 0.479